(1)
Compound: Pm2TmThSe4
Source: Alexandria
Functional: PBE
Structure: relaxed

The calculated total energy comes out at -6.12 eV/atom. Its energy relative to the elements, uncorrected is -1.705 eV per atom.

It has space group P2/m (No. 10), with a = 7.166 Å, b = 4.113 Å, c = 7.293 Å, α = 90.00°, β = 108.98° and γ = 90.00°. The inequivalent atoms are Pm at (0.000, 0.000, 0.000), Pm at (0.000, 0.500, 0.500), Tm at (0.500, 0.000, 0.500), Th at (0.500, 0.500, 0.000), Se at (0.254, 0.000, 0.741) and Se at (0.261, 0.500, 0.263).


(2)
Compound: Pm2YTh3Se6
Source: Alexandria
Functional: PBE
Structure: relaxed

The calculated total energy comes out at -6.59 eV/atom. Its energy relative to the elements, uncorrected is -1.662 eV per atom.

It has space group C2/m (No. 12), with a = 7.196 Å, b = 12.248 Å, c = 7.408 Å, α = 90.00°, β = 108.21° and γ = 90.00°. The inequivalent atoms are Pm at (0.000, 0.166, 0.000), Y at (0.000, 0.500, 0.000), Th at (0.000, 0.000, 0.500), Th at (0.000, 0.328, 0.500), Se at (0.243, 0.337, 0.240) and Se at (0.244, 0.500, 0.754).